Here is crystalline Rb3Mn2O4 at its relaxed geometry from Alexandria via LeMat-Bulk. Energies are from GGA+U.

- space-group type = C2/c
- magnetic moment (μB per cell) = 18.0
- relative energy among the computed polymorphs (meV per atom) = 0
- Fermi-level density of states (states/eV per atom) = 0.44

a b c (Å): 7.889 7.889 5.962
angles (deg): 91.40 91.40 73.79
Element x y z (fractional)
1 Rb 0.100 0.900 0.750
2 Rb 0.243 0.525 0.457
3 Rb 0.475 0.757 0.043
4 Rb 0.525 0.243 0.957
5 Rb 0.757 0.475 0.543
6 Rb 0.900 0.100 0.250
7 Mn 0.096 0.326 0.929
8 Mn 0.326 0.096 0.429
9 Mn 0.674 0.904 0.571
10 Mn 0.904 0.674 0.071
11 O 0.123 0.233 0.616
12 O 0.163 0.557 0.990
13 O 0.233 0.123 0.116
14 O 0.443 0.837 0.510
15 O 0.557 0.163 0.490
16 O 0.767 0.877 0.884
17 O 0.837 0.443 0.010
18 O 0.877 0.767 0.384